Density functional theory data (PBE-GGA) for a geometry-optimized Ho5Cd2Tc structure.

Summary:
**Total magnetic moment**: 0.00 Bohr magnetons per cell
**Total DFT energy (no corrections)**: -4.564 eV per atom

```
16
Lattice="-3.738 0.950 -3.323 -0.397 -6.405 -1.383 -8.318 -1.418 8.953" Properties=species:S:1:pos:R:3 pbc="T T T"
Cd -9.077 -1.581 5.860
Ho -9.607 -5.014 5.475
Cd -5.013 -2.403 1.053
Ho -6.293 -6.607 5.192
Ho 0.000 0.000 0.000
Ho -6.680 -3.505 6.513
Cd -7.441 -4.470 3.194
Ho -2.036 -4.318 1.057
Ho -5.521 -5.483 0.744
Ho -4.358 -3.911 3.785
Tc -4.159 -0.709 4.476
Cd -3.377 -5.292 -1.613
Ho -2.422 -1.215 2.378
Ho -2.847 -1.859 -1.228
Tc -0.199 -3.202 -0.692
Ho -6.933 -1.390 3.503
```

Density functional theory data (PBE-GGA) for a geometry-optimized Ti2CdRu2 structure.

Summary:
**Total magnetic moment**: 0.00 Bohr magnetons per cell
**Total DFT energy (no corrections)**: -7.348 eV per atom

```
10
Lattice="7.374 0.000 0.000 0.000 7.374 0.000 0.000 0.000 3.024" Properties=species:S:1:pos:R:3 pbc="T T T"
Cd 3.687 3.687 0.000
Ti 6.269 2.582 1.512
Ti 1.106 4.793 1.512
Ru 4.738 1.051 0.000
Ti 2.582 1.106 1.512
Ru 1.051 2.636 0.000
Ti 4.793 6.269 1.512
Ru 6.323 4.738 0.000
Ru 2.636 6.323 0.000
Cd 0.000 0.000 0.000
```

Density functional theory data (PBE-GGA) for a geometry-optimized Ta2SiMo structure.

Summary:
**Energy relative to the elements, uncorrected**: -0.100 eV/atom
**Total magnetic moment**: 0.00 Bohr magnetons per cell

```
4
Lattice="5.216 0.003 -0.022 -2.269 4.696 -0.022 0.502 0.800 2.662" Properties=species:S:1:pos:R:3 pbc="T T T"
Ta 1.473 2.350 -0.022
Si -0.884 2.748 1.320
Ta 0.000 0.000 0.000
Mo 2.859 0.402 1.320
```

Density functional theory data (PBE-GGA) for a geometry-optimized HoZrCoIr structure.

Summary:
**Total magnetic moment**: 1.07 Bohr magnetons per cell
**Total DFT energy (no corrections)**: -7.798 eV per atom

```
4
Lattice="-1.273 0.676 4.473 2.402 -2.076 3.466 2.709 2.574 2.850" Properties=species:S:1:pos:R:3 pbc="T T T"
Ir 0.000 0.000 0.000
Co 1.919 0.587 5.395
Ho 2.879 0.881 8.092
Zr 0.960 0.294 2.697
```

Density functional theory data (PBE-GGA) for a geometry-optimized Rb2AgSeBr6 structure.

Summary:
**Energy relative to the elements, uncorrected**: -0.763 eV/atom
**Total magnetic moment**: 0.00 Bohr magnetons per cell
**Energy above the lowest structure with this stoichiometry**: 47 meV/atom

```
20
Lattice="7.677 0.000 0.000 3.838 6.648 0.000 3.838 2.216 13.387" Properties=species:S:1:pos:R:3 pbc="T T T"
Br 9.614 3.314 5.174
Se 7.677 4.432 6.694
Br 7.677 2.241 1.629
Br 7.677 6.623 11.759
Br 9.574 5.528 1.629
Br 5.779 5.528 1.629
Rb 11.515 6.648 12.116
Se 0.000 0.000 0.000
Br 9.614 5.550 8.213
Br 7.677 2.195 8.213
Br 9.574 3.336 11.759
Rb 3.838 2.216 1.272
Br 5.739 5.550 8.213
Br 7.677 6.669 5.174
Br 5.779 3.336 11.759
Rb 11.515 6.648 4.755
Rb 3.838 2.216 8.633
Ag 7.677 4.432 3.285
Br 5.739 3.314 5.174
Ag 7.677 4.432 10.103
```

Density functional theory data (PBE-GGA) for a geometry-optimized InAs2Os structure.

Summary:
**Total magnetic moment**: 0.00 Bohr magnetons per cell
**Total DFT energy (no corrections)**: -5.440 eV per atom

```
4
Lattice="-1.632 -0.520 -2.478 1.166 -2.305 1.550 -8.307 -0.459 5.567" Properties=species:S:1:pos:R:3 pbc="T T T"
As -4.542 -0.251 3.044
As -7.918 -0.438 5.306
In -2.310 -1.527 0.928
Os -6.463 -1.757 3.711
```

> Which formula does entry 5 have?

Rb2AgSeBr6